Below is a relaxed Zn2B4O crystal, with properties calculated at the GGA-PBE level.

Summary:
- Uncorrected formation energy: 1060 meV/atom
- Fermi-level density of states: 1.3 states/eV/f.u.
- Calculated volume: 163.63 Å³ per cell
- Magnetization: 0.0 μB per formula unit

Cell lengths 4.1979, 4.1979, 9.2853 Å; angles 90.00, 90.00, 90.00 degrees
Last column: nearest neighbours and their distance in Å.
Space group I4/mmm (No. 139)
Asymmetric unit:
Zn1 0.0000 0.0000 0.1336  1 B 2.05
B1 0.0000 0.0000 0.3547  1 O 1.35
B2 0.0000 0.5000 0.0000  2 O 2.10
O1 0.0000 0.0000 0.5000  2 B 1.35